{"formula": "NiSeN2F", "functional": "PBE with a Hubbard U", "state": "relaxed", "lattice": [[3.546, 0.000, 0.000], [0.000, 3.546, 0.000], [0.000, 0.000, 5.298]], "species": ["Ni", "Se", "N", "N", "F"], "frac_coords": [[0.000, 0.000, 0.000], [0.000, 0.000, 0.500], [0.000, 0.500, 0.000], [0.500, 0.000, 0.000], [0.500, 0.500, 0.500]], "dos_at_fermi_per_ev_cell": 4.98, "density_g_cm3": 4.6, "de_polymorph_kj_per_mol_atoms": 35.45, "total_energy_ev_per_atom": -3.529}